Material: Cd2SnBPt6
Method: DFT, PBE
State: relaxed

Lattice parameters (Å, degrees): 5.714 7.751 8.576 90.00 90.00 90.00
Fractional coordinates of all 20 atoms:
Pt (0.744, 0.037, 0.000)
Pt (0.000, 0.844, 0.244)
Pt (0.762, 0.349, 0.500)
Pt (0.500, 0.156, 0.256)
Pt (0.238, 0.349, 0.500)
Pt (0.256, 0.037, 0.000)
Pt (0.756, 0.963, 0.500)
Pt (0.000, 0.844, 0.756)
Pt (0.738, 0.651, 0.000)
Pt (0.262, 0.651, 0.000)
Pt (0.244, 0.963, 0.500)
Pt (0.500, 0.156, 0.744)
Cd (0.000, 0.232, 0.769)
Cd (0.000, 0.232, 0.231)
Cd (0.500, 0.768, 0.731)
Cd (0.500, 0.768, 0.269)
B (0.000, 0.839, 0.000)
B (0.500, 0.161, 0.500)
Sn (0.000, 0.641, 0.500)
Sn (0.500, 0.359, 0.000)

Total moment in μB per formula unit: 0.000
Energy relative to the elements in eV per formula unit: -2.45
ρ in g/cm³: 13.3
VASP energy in eV per cell: -102.4